# Rb2VCu3F12 (PBE with a Hubbard U, optimized geometry)
data_Rb2VCu3F12
_chemical_formula_sum 'Rb2 V1 Cu3 F12'
_space_group_name_H-M_alt 'P 1'
_space_group_IT_number 1
_space_group_name_Hall 'P 1'
_cell_length_a 7.862
_cell_length_b 7.862
_cell_length_c 7.862
_cell_angle_alpha 53.08
_cell_angle_beta 53.08
_cell_angle_gamma 53.08
loop_
_atom_site_label
_atom_site_type_symbol
_atom_site_fract_x
_atom_site_fract_y
_atom_site_fract_z
Rb1 Rb 0.112 0.112 0.112
Rb2 Rb 0.888 0.888 0.888
V1 V 0.500 0.500 0.500
Cu1 Cu 0.000 0.500 0.500
Cu2 Cu 0.500 0.000 0.500
Cu3 Cu 0.500 0.500 0.000
F1 F 0.175 0.175 0.578
F2 F 0.175 0.578 0.175
F3 F 0.190 0.578 0.578
F4 F 0.422 0.422 0.810
F5 F 0.422 0.810 0.422
F6 F 0.422 0.825 0.825
F7 F 0.578 0.175 0.175
F8 F 0.578 0.190 0.578
F9 F 0.578 0.578 0.190
F10 F 0.810 0.422 0.422
F11 F 0.825 0.422 0.825
F12 F 0.825 0.825 0.422
# * calculated volume: 288 Å³/cell
# * VASP energy: -83.5 eV for the cell shown
# * space-group type: R-3m